Record 1
{
  "formula": "BaCdI2O8",
  "functional": "GGA-PBE",
  "state": "optimized geometry",
  "cell": [[5.6099, 0.0000, 0.0000], [2.8050, 4.8583, 0.0000], [2.8050, 1.6194, 7.4488]],
  "species": ["O", "O", "Ba", "O", "O", "O", "O", "I", "Cd", "O", "I", "O"],
  "fractional_positions": [[0.2823, 0.9283, 0.1828], [0.3934, 0.7177, 0.8172], [0.5000, 0.5000, 0.5000], [0.0717, 0.3934, 0.8172], [0.1846, 0.1846, 0.4461], [0.7177, 0.0717, 0.8172], [0.6066, 0.2823, 0.1828], [0.2658, 0.2658, 0.2026], [0.0000, 0.0000, 0.0000], [0.8154, 0.8154, 0.5539], [0.7342, 0.7342, 0.7974], [0.9283, 0.6066, 0.1828]],
  "formation_energy_uncorrected_mev_per_atom": -766,
  "sg": "R-3 (148)",
  "total_energy_ev_per_atom": -4.57
}

Record 2
{
  "formula": "BaCdIO6",
  "functional": "GGA-PBE",
  "state": "optimized geometry",
  "cell": [[-2.4966, 0.3547, -5.0611], [1.6430, -3.4013, -4.2077], [-3.7906, -3.8135, 1.6025]],
  "species": ["O", "I", "Cd", "O", "O", "O", "O", "Ba", "O"],
  "fractional_positions": [[0.5973, 0.0505, 0.3022], [0.3333, 0.3333, 0.5000], [0.6666, 0.6666, 0.5000], [0.0505, 0.3521, 0.3021], [0.5973, 0.3522, 0.6978], [0.3522, 0.5973, 0.3021], [0.3521, 0.0506, 0.6978], [0.0000, 0.0000, 0.0000], [0.0505, 0.5974, 0.6978]],
  "formation_energy_uncorrected_mev_per_atom": -1072,
  "sg": "P312 (149)",
  "total_energy_ev_per_atom": -4.86
}

Record 3
{
  "formula": "Ba2CdIO6",
  "functional": "GGA-PBE",
  "state": "optimized geometry",
  "cell": [[-0.9088, 4.9917, 3.3225], [-5.6204, 2.1404, 0.7822], [-2.6750, -0.4151, 5.4272]],
  "species": ["O", "O", "O", "I", "O", "O", "Ba", "Ba", "O", "Cd"],
  "fractional_positions": [[0.7664, 0.2336, 0.7664], [0.7664, 0.7664, 0.2336], [0.2336, 0.2336, 0.7664], [0.0000, 0.0000, 0.0000], [0.2336, 0.7664, 0.2336], [0.2336, 0.7664, 0.7664], [0.7500, 0.7500, 0.7500], [0.2500, 0.2500, 0.2500], [0.7664, 0.2336, 0.2336], [0.5000, 0.5000, 0.5000]],
  "formation_energy_uncorrected_mev_per_atom": -1576,
  "sg": "Fm-3m (225)",
  "total_energy_ev_per_atom": -5.18
}

Record 4
{
  "formula": "BaCdIO2",
  "functional": "GGA-PBE",
  "state": "optimized geometry",
  "cell": [[4.6866, 0.0000, 0.0000], [0.0000, 4.6866, 0.0000], [0.0000, 0.0000, 5.6584]],
  "species": ["I", "O", "O", "Cd", "Ba"],
  "fractional_positions": [[0.0000, 0.0000, 0.5000], [0.0000, 0.5000, 0.0000], [0.5000, 0.0000, 0.0000], [0.0000, 0.0000, 0.0000], [0.5000, 0.5000, 0.5000]],
  "formation_energy_uncorrected_mev_per_atom": -818,
  "sg": "P4/mmm (123)",
  "total_energy_ev_per_atom": -3.68
}

Record 5
{
  "formula": "BaCdPI2",
  "functional": "GGA-PBE",
  "state": "optimized geometry",
  "cell": [[-3.8933, 1.7408, -3.5250], [4.7948, -2.6303, -6.5947], [-2.4222, -4.9697, 0.2211]],
  "species": ["P", "Cd", "I", "I", "Ba"],
  "fractional_positions": [[0.5000, 0.5000, 0.5000], [0.0000, 0.0000, 0.0000], [0.5000, 0.0000, 0.0000], [0.0000, 0.0000, 0.5000], [0.0000, 0.5000, 0.0000]],
  "formation_energy_uncorrected_mev_per_atom": 62,
  "sg": "P4/mmm (123)",
  "total_energy_ev_per_atom": -2.21
}

Record 6
{
  "formula": "Ba4CdPI2",
  "functional": "GGA-PBE",
  "state": "optimized geometry",
  "cell": [[4.7846, 0.0000, 0.0000], [0.0000, 8.6916, 0.2592], [0.0000, -2.9367, 8.4076]],
  "species": ["P", "I", "Ba", "Ba", "Ba", "Cd", "I", "Ba"],
  "fractional_positions": [[0.5000, 0.5000, 0.0000], [0.5000, 0.0000, 0.5000], [0.0000, 0.7177, 0.2041], [0.5000, 0.7386, 0.7823], [0.5000, 0.2614, 0.2177], [0.0000, 0.0000, 0.0000], [0.0000, 0.5000, 0.5000], [0.0000, 0.2823, 0.7959]],
  "formation_energy_uncorrected_mev_per_atom": -1048,
  "sg": "P2/m (10)",
  "total_energy_ev_per_atom": -3.19
}

Record 7
{
  "formula": "BaCdPb2I8",
  "functional": "GGA-PBE",
  "state": "optimized geometry",
  "cell": [[-7.2452, -2.7665, -0.4865], [2.5054, -6.8457, -1.0303], [-0.0827, -1.4781, 9.6040]],
  "species": ["Cd", "I", "Ba", "I", "I", "Pb", "I", "I", "I", "Pb", "I", "I"],
  "fractional_positions": [[0.0000, 0.0000, 0.0000], [0.8507, 0.2435, 0.7815], [0.0000, 0.0000, 0.5000], [0.8503, 0.2431, 0.2184], [0.6414, 0.7309, 0.5000], [0.4999, 0.5001, 0.2341], [0.3586, 0.2691, 0.5000], [0.3379, 0.2410, 0.0001], [0.1493, 0.7565, 0.2185], [0.5001, 0.4999, 0.7659], [0.6621, 0.7590, 0.9999], [0.1497, 0.7569, 0.7816]],
  "formation_energy_uncorrected_mev_per_atom": -856,
  "sg": "P2/m (10)",
  "total_energy_ev_per_atom": -2.74
}

Record 8
{
  "formula": "BaCd2PbI8",
  "functional": "GGA-PBE",
  "state": "optimized geometry",
  "cell": [[7.6091, 0.0000, 0.0000], [-3.8046, 6.5897, 0.0000], [0.0000, 0.0000, 10.9354]],
  "species": ["I", "I", "I", "I", "Cd", "I", "I", "Pb", "Ba", "I", "Cd", "I"],
  "fractional_positions": [[0.7012, 0.6774, 0.7016], [0.6667, 0.3333, 0.9893], [0.0238, 0.7012, 0.2984], [0.3226, 0.0238, 0.7016], [0.6667, 0.3333, 0.2445], [0.9762, 0.2988, 0.7016], [0.3333, 0.6667, 0.0107], [0.0000, 0.0000, 0.5000], [0.0000, 0.0000, 0.0000], [0.6774, 0.9762, 0.2984], [0.3333, 0.6667, 0.7555], [0.2988, 0.3226, 0.2984]],
  "formation_energy_uncorrected_mev_per_atom": -804,
  "sg": "P-3 (147)",
  "total_energy_ev_per_atom": -2.46
}

Record 9
{
  "formula": "Ba6CdPd2I3",
  "functional": "GGA-PBE",
  "state": "optimized geometry",
  "cell": [[-3.5638, -0.2062, -3.0988], [-1.5486, -10.0364, 2.4489], [-4.3594, 6.7433, 8.1702]],
  "species": ["Ba", "Ba", "I", "Ba", "Pd", "I", "Ba", "Ba", "I", "Ba", "Pd", "Cd"],
  "fractional_positions": [[0.3213, 0.4460, 0.6427], [0.3355, 0.8829, 0.6709], [0.8355, 0.1714, 0.6710], [0.9852, 0.7534, 0.9705], [0.1676, 0.3332, 0.3352], [0.5000, 0.5000, 0.0000], [0.0148, 0.2466, 0.0295], [0.6787, 0.5540, 0.3573], [0.1645, 0.8286, 0.3290], [0.6645, 0.1171, 0.3291], [0.8324, 0.6668, 0.6648], [0.5000, 0.0000, 0.0000]],
  "formation_energy_uncorrected_mev_per_atom": -914,
  "sg": "C2/m (12)",
  "total_energy_ev_per_atom": -3.20
}

Record 10
{
  "formula": "BaCd2PtI",
  "functional": "GGA-PBE",
  "state": "optimized geometry",
  "cell": [[5.3109, 0.0000, 0.0000], [0.0000, 5.3109, 0.0000], [0.0000, 0.0000, 6.1277]],
  "species": ["Pt", "Cd", "Cd", "Ba", "I"],
  "fractional_positions": [[0.0000, 0.0000, 0.0000], [0.5000, 0.0000, 0.0000], [0.0000, 0.5000, 0.0000], [0.0000, 0.0000, 0.5000], [0.5000, 0.5000, 0.5000]],
  "formation_energy_uncorrected_mev_per_atom": -695,
  "sg": "P4/mmm (123)",
  "total_energy_ev_per_atom": -2.96
}

Record 11
{
  "formula": "Ba4CdPtI2",
  "functional": "GGA-PBE",
  "state": "optimized geometry",
  "cell": [[4.7384, 0.0000, 0.0000], [0.0001, 9.2639, -0.5215], [0.0000, 2.9226, 7.8268]],
  "species": ["Ba", "Pt", "Ba", "Ba", "I", "I", "Ba", "Cd"],
  "fractional_positions": [[0.0000, 0.7128, 0.7376], [0.0000, 0.5000, 0.5000], [0.5000, 0.7037, 0.2828], [0.5000, 0.2963, 0.7172], [0.5000, 0.0000, 0.5000], [0.0000, 0.0000, 0.0000], [0.0000, 0.2872, 0.2624], [0.5000, 0.5000, 0.0000]],
  "formation_energy_uncorrected_mev_per_atom": -953,
  "sg": "P2/m (10)",
  "total_energy_ev_per_atom": -3.17
}

Record 12
{
  "formula": "Rb2BaCdI6",
  "functional": "GGA-PBE",
  "state": "optimized geometry",
  "cell": [[-2.7607, 7.4441, -3.9050], [-8.3223, 2.7772, 1.1500], [-1.6035, 7.2532, 4.9331]],
  "species": ["Cd", "I", "Ba", "Rb", "Rb", "I", "I", "I", "I", "I"],
  "fractional_positions": [[0.3194, 0.3194, 0.0418], [0.1022, 0.4604, 0.7891], [0.8181, 0.8181, 0.5457], [0.0373, 0.0375, 0.8879], [0.5381, 0.5378, 0.3861], [0.6483, 0.1021, 0.7891], [0.1792, 0.9957, 0.2622], [0.4604, 0.6484, 0.7888], [0.5629, 0.1792, 0.2622], [0.9957, 0.5630, 0.2622]],
  "formation_energy_uncorrected_mev_per_atom": -1266,
  "sg": "R3 (146)",
  "total_energy_ev_per_atom": -2.67
}

Record 13
{
  "formula": "BaCdSb2I",
  "functional": "GGA-PBE",
  "state": "optimized geometry",
  "cell": [[6.7122, 0.0000, 0.0000], [0.0000, 6.7122, 0.0000], [0.0000, 0.0000, 6.6334]],
  "species": ["Cd", "I", "Sb", "Sb", "Ba"],
  "fractional_positions": [[0.5000, 0.5000, 0.5000], [0.0000, 0.0000, 0.5000], [0.0000, 0.5000, 0.0000], [0.5000, 0.0000, 0.0000], [0.0000, 0.0000, 0.0000]],
  "formation_energy_uncorrected_mev_per_atom": 380,
  "sg": "P4/mmm (123)",
  "total_energy_ev_per_atom": -2.15
}

Record 14
{
  "formula": "BaCdSb2I",
  "functional": "GGA-PBE",
  "state": "optimized geometry",
  "cell": [[-2.6972, 4.7384, -0.7212], [-3.3099, -1.2429, 4.2127], [4.0614, 2.9291, 4.0552]],
  "species": ["Ba", "Sb", "Sb", "I", "Cd"],
  "fractional_positions": [[0.5000, 0.5000, 0.5000], [0.0000, 0.5000, 0.0000], [0.5000, 0.0000, 0.0000], [0.0000, 0.0000, 0.5000], [0.0000, 0.0000, 0.0000]],
  "formation_energy_uncorrected_mev_per_atom": -274,
  "sg": "P4/mmm (123)",
  "total_energy_ev_per_atom": -2.80
}

Record 15
{
  "formula": "BaCdSeI2",
  "functional": "GGA-PBE",
  "state": "optimized geometry",
  "cell": [[-2.1939, 5.0297, -0.2041], [-4.0438, -1.4398, 7.9877], [4.3981, 2.0235, 2.5913]],
  "species": ["I", "Se", "Cd", "I", "Ba"],
  "fractional_positions": [[0.0000, 0.0000, 0.5000], [0.5000, 0.5000, 0.5000], [0.0000, 0.0000, 0.0000], [0.5000, 0.0000, 0.0000], [0.0000, 0.5000, 0.0000]],
  "formation_energy_uncorrected_mev_per_atom": -426,
  "sg": "P4/mmm (123)",
  "total_energy_ev_per_atom": -2.31
}

Record 16
{
  "formula": "BaCdTeI2",
  "functional": "GGA-PBE",
  "state": "optimized geometry",
  "cell": [[6.7174, 0.0000, 0.0000], [0.0000, 6.7174, 0.0000], [0.0000, 0.0000, 7.0975]],
  "species": ["Cd", "Te", "I", "I", "Ba"],
  "fractional_positions": [[0.5000, 0.5000, 0.5000], [0.0000, 0.0000, 0.5000], [0.5000, 0.0000, 0.0000], [0.0000, 0.5000, 0.0000], [0.0000, 0.0000, 0.0000]],
  "formation_energy_uncorrected_mev_per_atom": -440,
  "sg": "P4/mmm (123)",
  "total_energy_ev_per_atom": -2.26
}

Record 17
{
  "formula": "BaCdTeI2",
  "functional": "GGA-PBE",
  "state": "optimized geometry",
  "cell": [[5.8835, 0.0000, 0.0000], [0.0000, 5.8835, 0.0000], [0.0000, 0.0000, 5.8244]],
  "species": ["I", "Te", "I", "Ba", "Cd"],
  "fractional_positions": [[0.0000, 0.5000, 0.0000], [0.0000, 0.0000, 0.5000], [0.5000, 0.0000, 0.0000], [0.5000, 0.5000, 0.5000], [0.0000, 0.0000, 0.0000]],
  "formation_energy_uncorrected_mev_per_atom": -876,
  "sg": "P4/mmm (123)",
  "total_energy_ev_per_atom": -2.69
}

Record 18
{
  "formula": "BaTiCd2I",
  "functional": "GGA-PBE",
  "state": "optimized geometry",
  "cell": [[-0.9622, -6.0657, 0.9138], [6.1087, -0.7232, 1.6314], [-1.4511, 1.1238, 5.9317]],
  "species": ["Cd", "I", "Cd", "Ti", "Ba"],
  "fractional_positions": [[0.5000, 0.0000, 0.0000], [0.0000, 0.0000, 0.0000], [0.0000, 0.0000, 0.5000], [0.5000, 0.5000, 0.5000], [0.0000, 0.5000, 0.0000]],
  "formation_energy_uncorrected_mev_per_atom": 742,
  "sg": "P4/mmm (123)",
  "total_energy_ev_per_atom": -1.90
}

Record 19
{
  "formula": "BaTl2CdI6",
  "functional": "GGA-PBE",
  "state": "optimized geometry",
  "cell": [[8.5976, 0.0025, 0.0017], [4.3009, 7.4433, 0.0007], [4.3005, 2.4820, 7.4001]],
  "species": ["I", "Cd", "I", "I", "Tl", "I", "I", "I", "Tl", "Ba"],
  "fractional_positions": [[0.5697, 0.2040, 0.2489], [0.3215, 0.3214, 0.0356], [0.2038, 0.9773, 0.2488], [0.6758, 0.1143, 0.7751], [0.5245, 0.5242, 0.4271], [0.9773, 0.5700, 0.2488], [0.1146, 0.4349, 0.7750], [0.4348, 0.6756, 0.7747], [0.0202, 0.0203, 0.9395], [0.8194, 0.8195, 0.5417]],
  "formation_energy_uncorrected_mev_per_atom": -926,
  "sg": "R3 (146)",
  "total_energy_ev_per_atom": -2.61
}

Record 20
{
  "formula": "BaYCd2I",
  "functional": "GGA-PBE",
  "state": "optimized geometry",
  "cell": [[5.9409, 0.0000, 0.0000], [0.0000, 5.8386, 0.0000], [0.0000, 0.0000, 5.9409]],
  "species": ["Cd", "Y", "I", "Cd", "Ba"],
  "fractional_positions": [[0.5000, 0.0000, 0.0000], [0.0000, 0.0000, 0.0000], [0.0000, 0.5000, 0.0000], [0.0000, 0.0000, 0.5000], [0.5000, 0.5000, 0.5000]],
  "formation_energy_uncorrected_mev_per_atom": -207,
  "sg": "P4/mmm (123)",
  "total_energy_ev_per_atom": -2.56
}